The following is a meta-GGA SCAN calculation of Co2IrPt at its PBEsol-relaxed geometry, from the Alexandria database.

**Excess energy over the best structure of this formula in the dataset**: 0.045 eV per atom
**VASP energy**: -175.88 eV/cell
**Energy of formation from the pure elements**: 0.00 eV/atom
**Space group**: Cm, No. 8
**Spin magnetization**: 4.5 μB/cell

Unit cell a=2.6382 b=4.4719 c=4.5385 alpha=100.71 beta=106.90 gamma=90.00
With the nearest neighbours (Å) after each atom.
Sites, in units of the cell vectors:
Ir (0.5046, 0.5192, 0.0093)  7 Co 2.53-2.67, 2 Ir 2.64, 3 Pt 2.66-2.69
Pt (0.7478, 0.2366, 0.4956)  7 Co 2.56-2.63, 2 Pt 2.64, 3 Ir 2.66-2.69
Co (0.2529, 0.7473, 0.5058)  5 Co 2.55-2.69, 4 Pt 2.56-2.63, 3 Ir 2.56-2.59
Co (0.9946, 0.9969, 0.9893)  4 Ir 2.53-2.67, 5 Co 2.55-2.69, 3 Pt 2.58-2.61

The following is a meta-GGA SCAN calculation of Co2IrPt at its PBEsol-relaxed geometry, from the Alexandria database.

**Excess energy over the best structure of this formula in the dataset**: 0.033 eV per atom
**VASP energy**: -175.93 eV/cell
**Energy of formation from the pure elements**: -0.01 eV/atom
**Space group**: C2/m, No. 12
**Spin magnetization**: 4.7 μB/cell

Unit cell a=2.6459 b=4.4721 c=4.5972 alpha=99.94 beta=90.00 gamma=107.21
With the nearest neighbours (Å) after each atom.
Sites, in units of the cell vectors:
Pt (0.5000, 0.0000, 0.0000)  6 Co 2.62-2.63, 2 Pt 2.65, 4 Ir 2.65
Co (0.7482, 0.4965, 0.7368)  6 Co 2.55-2.75, 3 Ir 2.57-2.58, 3 Pt 2.62-2.63
Co (0.2518, 0.5035, 0.2632)  6 Co 2.55-2.75, 3 Ir 2.57-2.58, 3 Pt 2.62-2.63
Ir (0.0000, 0.0000, 0.5000)  6 Co 2.57-2.58, 2 Ir 2.65, 4 Pt 2.65